PuAlFe: relaxed, PBE.

ΔH_f (0 K) = -0.031 eV/atom
space-group type = P-6m2

Cell: 3.2557 4.4251 4.4251 Å, 120.00 90.00 90.00°
With the nearest neighbours (Å) after each atom.
Fractional positions:
Al (0.1668, 0.6667, 0.3333)  3 Fe 2.55
Fe (0.1667, 0.0000, 0.0000)  3 Al 2.55
Pu (0.6666, 0.3333, 0.6667)  6 Al 3.03, 6 Fe 3.03, 2 Pu 3.26

---

KBaRh2: relaxed, PBE.

ΔH_f (0 K) = 0.231 eV/atom
distance to the lowest polymorph of the same formula = 0.48 eV per formula unit
space-group type = Imm2

Cell: 5.9038 5.9038 5.9038 Å, 135.94 124.32 73.59°
With the nearest neighbours (Å) after each atom.
Fractional positions:
Ba (0.5261, 0.5261, 0.0000)  4 K 3.33-3.62, 8 Rh 3.34-3.67
K (0.2230, 0.7230, 0.5000)  4 Ba 3.33-3.62, 8 Rh 3.34-3.67
Rh (0.9233, 0.9233, 0.0000)  2 Rh 2.39
Rh (0.8276, 0.3276, 0.5000)  2 Rh 2.39

---

Pm4PIrCl2: relaxed, PBE.

E_tot = -5.97 eV/atom
space-group type = P2/m

Cell: 4.0408 7.4184 7.4153 Å, 72.28 90.00 90.00°
With the nearest neighbours (Å) after each atom.
Fractional positions:
Pm (0.0000, 0.7088, 0.7740)  2 Ir 2.78, 1 P 2.91
Pm (0.0000, 0.2912, 0.2260)  2 Ir 2.78, 1 P 2.91
Pm (0.5000, 0.7140, 0.2599)  2 P 2.84, 1 Ir 2.85, 3 Cl 3.13-3.16
Pm (0.5000, 0.2860, 0.7401)  2 P 2.84, 1 Ir 2.85, 3 Cl 3.13-3.16
P (0.0000, 0.5000, 0.5000)  6 Pm 2.84-2.91
Ir (0.5000, 0.5000, 0.0000)  6 Pm 2.78-2.85
Cl (0.0000, 0.0000, 0.0000)  6 Pm 3.11-3.13
Cl (0.5000, 0.0000, 0.5000)  6 Pm 3.16-3.19

---

Pu5Cu4Si4: relaxed, PBE.

E_tot = -8.74 eV/atom
space-group type = I4/m

Cell: 4.0056 8.0146 8.0146 Å, 86.42 75.53 75.53°
With the nearest neighbours (Å) after each atom.
Fractional positions:
Pu (0.7018, 0.9420, 0.6545)  5 Si 2.93-3.00, 2 Cu 3.13-3.18, 2 Pu 3.25
Pu (0.2982, 0.0580, 0.3455)  5 Si 2.93-3.00, 2 Cu 3.13-3.18, 2 Pu 3.25
Pu (0.0000, 0.0000, 0.0000)  4 Si 3.04, 8 Pu 3.38
Pu (0.6437, 0.6545, 0.0580)  5 Si 2.93-3.00, 2 Cu 3.13-3.18, 2 Pu 3.25
Pu (0.3563, 0.3455, 0.9420)  5 Si 2.93-3.00, 2 Cu 3.13-3.18, 2 Pu 3.25
Cu (0.8981, 0.5393, 0.6644)  3 Si 2.41-2.43, 1 Cu 2.62
Cu (0.5625, 0.3356, 0.5393)  3 Si 2.41-2.43, 1 Cu 2.62
Cu (0.1019, 0.4607, 0.3356)  3 Si 2.41-2.43, 1 Cu 2.62
Cu (0.4375, 0.6644, 0.4607)  3 Si 2.41-2.43, 1 Cu 2.62
Si (0.7265, 0.3181, 0.2289)  3 Cu 2.41-2.43
Si (0.2735, 0.6819, 0.7711)  3 Cu 2.41-2.43
Si (0.9554, 0.7711, 0.3181)  3 Cu 2.41-2.43
Si (0.0446, 0.2289, 0.6819)  3 Cu 2.41-2.43

---

MoRhS3: relaxed, PBE.

distance to the lowest polymorph of the same formula = 0.00 eV per formula unit
space-group type = Pm-3m

Cell: 4.6439 4.6439 4.6439 Å, 90.00 90.00 90.00°
With the nearest neighbours (Å) after each atom.
Fractional positions:
Mo (0.0000, 0.0000, 0.0000)  6 S 2.32
Rh (0.5000, 0.5000, 0.5000)  12 S 3.28
S (0.0000, 0.5000, 0.0000)  2 Mo 2.32
S (0.0000, 0.0000, 0.5000)  2 Mo 2.32
S (0.5000, 0.0000, 0.0000)  2 Mo 2.32

---

Cu2NiAu4: relaxed, PBE.

ΔH_f (0 K) = 0.025 eV/atom
distance to the lowest polymorph of the same formula = 0.00 eV per formula unit
space-group type = I4/mmm

Cell: 5.3515 5.3515 5.3515 Å, 98.29 115.34 115.34°
With the nearest neighbours (Å) after each atom.
Fractional positions:
Cu (0.5000, 0.5000, 0.0000)  8 Au 2.68, 2 Ni 2.86
Cu (0.5000, 0.0000, 0.5000)  8 Au 2.68, 2 Ni 2.86
Ni (0.0000, 0.0000, 0.0000)  8 Au 2.68, 4 Cu 2.86
Au (0.5000, 0.0000, 0.0000)  2 Ni 2.68, 4 Cu 2.68, 4 Au 2.86
Au (0.5000, 0.5000, 0.5000)  2 Ni 2.68, 4 Cu 2.68, 4 Au 2.86
Au (0.0000, 0.0000, 0.5000)  4 Cu 2.68, 2 Ni 2.68, 4 Au 2.86
Au (0.0000, 0.5000, 0.0000)  4 Cu 2.68, 2 Ni 2.68, 4 Au 2.86

---

> What is the formula in the first record?

PuAlFe

---

Repeat the second record exactly.
KBaRh2: relaxed, PBE.

ΔH_f (0 K) = 0.231 eV/atom
distance to the lowest polymorph of the same formula = 0.48 eV per formula unit
space-group type = Imm2

Cell: 5.9038 5.9038 5.9038 Å, 135.94 124.32 73.59°
With the nearest neighbours (Å) after each atom.
Fractional positions:
Ba (0.5261, 0.5261, 0.0000)  4 K 3.33-3.62, 8 Rh 3.34-3.67
K (0.2230, 0.7230, 0.5000)  4 Ba 3.33-3.62, 8 Rh 3.34-3.67
Rh (0.9233, 0.9233, 0.0000)  2 Rh 2.39
Rh (0.8276, 0.3276, 0.5000)  2 Rh 2.39